Density functional theory data (PBE+U) for a relaxed structure of MgGa4NiO8.

uncorrected energy	-247.1	eV for the cell shown
magnetic moment	2.0	μB/f.u.

abc: 5.9577 5.9577 14.5357
angles: 90.00 90.00 120.00
Space group R3m (No. 160, hexagonal axes)
Inequivalent atoms, fractional coordinates:
1 Mg 0.0000 0.0000 0.0000
2 Ga 0.0000 0.0000 0.7574
3 Ga 0.0085 0.5042 0.8793
4 Ni 0.0000 0.0000 0.3763
5 O 0.0000 0.0000 0.1361
6 O 0.0000 0.0000 0.6232
7 O 0.0172 0.5086 0.1337
8 O 0.1789 0.3577 0.9540